# 1
Entry from the Open Quantum Materials Database: LiSiPd after structural relaxation (PBE).

Computed properties:
SG: F-43m, No. 216
Electronic total energy (eV/atom): -4.518
Calculated volume (Å³/cell): 185.5

Cell lengths 5.7032, 5.7032, 5.7032 Å; angles 90.00, 90.00, 90.00 degrees
Atoms (fractional coordinates):
Li  0.0000  0.0000  0.0000
Li  0.0000  0.5000  0.5000
Li  0.5000  0.0000  0.5000
Li  0.5000  0.5000  0.0000
Si  0.2500  0.2500  0.2500
Si  0.2500  0.7500  0.7500
Si  0.7500  0.2500  0.7500
Si  0.7500  0.7500  0.2500
Pd  0.0000  0.0000  0.5000
Pd  0.0000  0.5000  0.0000
Pd  0.5000  0.0000  0.0000
Pd  0.5000  0.5000  0.5000



# 2
Entry from the Open Quantum Materials Database: LiSiPd2 after structural relaxation (PBE).

Computed properties:
SG: P6_3/mmc, No. 194
Electronic total energy (eV/atom): -4.956
Calculated volume (Å³/cell): 123.4

Cell lengths 4.1223, 4.1223, 8.3823 Å; angles 90.00, 90.00, 120.00 degrees
Atoms (fractional coordinates):
Li  0.3333  0.6667  0.2500
Li  0.6667  0.3333  0.7500
Si  0.0000  0.0000  0.0000
Si  0.0000  0.0000  0.5000
Pd  0.3333  0.6667  0.5823
Pd  0.3333  0.6667  0.9177
Pd  0.6667  0.3333  0.0823
Pd  0.6667  0.3333  0.4177



# 3
Entry from the Open Quantum Materials Database: Li4TlSiPd2 after structural relaxation (PBE).

Computed properties:
SG: P-4m2, No. 115
Electronic total energy (eV/atom): -3.693
Calculated volume (Å³/cell): 118.2

Cell lengths 4.3110, 4.3110, 6.3596 Å; angles 90.00, 90.00, 90.00 degrees
Atoms (fractional coordinates):
Li  0.0000  0.0000  0.0000
Li  0.0000  0.5000  0.2288
Li  0.5000  0.0000  0.7712
Li  0.5000  0.5000  0.5000
Tl  0.0000  0.0000  0.5000
Si  0.5000  0.5000  0.0000
Pd  0.0000  0.5000  0.7941
Pd  0.5000  0.0000  0.2059